# 1
Entry from OQMD via LeMat-Bulk: a geometry-optimized Na4MgSnAu2 structure (PBE).

Results
SG: P-4m2
Electronic total energy, hartree per atom: -0.088

a = 4.965 Å, b = 4.965 Å, c = 6.949 Å
α = 90.00°, β = 90.00°, γ = 90.00°
Positions (direct):
Na (0.000, 0.000, 0.000)
Na (0.000, 0.500, 0.747)
Na (0.500, 0.000, 0.253)
Na (0.500, 0.500, 0.500)
Mg (0.000, 0.000, 0.500)
Sn (0.500, 0.500, 0.000)
Au (0.000, 0.500, 0.258)
Au (0.500, 0.000, 0.742)

# 2
Entry from OQMD via LeMat-Bulk: a geometry-optimized Al2NiBi structure (PBE).

Results
SG: F-43m
Electronic total energy, hartree per atom: -0.147

a = 4.730 Å, b = 4.730 Å, c = 4.730 Å
α = 60.00°, β = 60.00°, γ = 60.00°
Positions (direct):
Al (0.000, 0.000, 0.000)
Al (0.250, 0.250, 0.250)
Ni (0.750, 0.750, 0.750)
Bi (0.500, 0.500, 0.500)

> electronic total energy of number 2 (Al2NiBi)?

-0.147 hartree per atom